Entry 1:
Below is ZnOs2Se at its PBEsol-relaxed geometry, with properties calculated at the SCAN level.

Summary:
**Volume**: 58 Å³/cell
**Total energy**: -174.17 eV for the cell shown
**Theoretical density**: 14.908 Mg/m³
**E_form (uncorrected)**: 0.796 eV per atom
**Fermi-level density of states**: 4.3 states/eV/f.u.
**Total magnetic moment**: 0.001 Bohr magnetons per cell

a b c (Å): 3.981 3.981 4.640
angles (deg): 115.40 115.40 90.00
Sites, in units of the cell vectors:
Os  0.000  0.000  0.000
Os  0.750  0.250  0.500
Se  0.500  0.500  0.000
Zn  0.250  0.750  0.500

=====

Entry 2:
Below is YCdTe at its PBEsol-relaxed geometry, with properties calculated at the SCAN level.

Summary:
**Volume**: 77 Å³/cell
**Total energy**: -97.57 eV for the cell shown
**Theoretical density**: 7.128 Mg/m³
**E_form (uncorrected)**: -0.687 eV per atom
**Fermi-level density of states**: 1.6 states/eV/f.u.
**Total magnetic moment**: 0.867 Bohr magnetons per cell

a b c (Å): 3.821 3.821 5.902
angles (deg): 108.89 108.89 90.00
Sites, in units of the cell vectors:
Te  0.327  0.327  0.654
Y  0.672  0.672  0.345
Cd  0.000  0.000  0.001

=====

Entry 3:
Below is MgTlPb2 at its PBEsol-relaxed geometry, with properties calculated at the SCAN level.

Summary:
**Volume**: 109 Å³/cell
**Total energy**: -229.13 eV for the cell shown
**Theoretical density**: 9.828 Mg/m³
**Energy of formation**: -0.2 eV per formula unit
**Fermi-level density of states**: 1.2 states/eV/f.u.
**Total magnetic moment**: 0.000 Bohr magnetons per cell

a b c (Å): 3.448 3.448 9.140
angles (deg): 90.00 90.00 90.00
Sites, in units of the cell vectors:
Pb  0.000  0.000  0.980
Pb  0.500  0.500  0.257
Mg  0.500  0.500  0.743
Tl  0.000  0.000  0.521

=====

Entry 4:
Below is ZnRuSe2N at its PBEsol-relaxed geometry, with properties calculated at the SCAN level.

Summary:
**Volume**: 90 Å³/cell
**Total energy**: -95.93 eV for the cell shown
**Theoretical density**: 6.225 Mg/m³
**E_form (uncorrected)**: 0.371 eV per atom
**Fermi-level density of states**: 3.6 states/eV/f.u.
**Total magnetic moment**: 0.000 Bohr magnetons per cell

a b c (Å): 3.584 5.019 5.019
angles (deg): 90.00 90.00 90.00
Sites, in units of the cell vectors:
Se  0.000  0.000  0.500
Se  0.000  0.500  0.000
N  0.500  0.000  0.000
Zn  0.500  0.500  0.500
Ru  0.000  0.000  0.000

=====

Entry 5:
Below is LiNi2Ru at its PBEsol-relaxed geometry, with properties calculated at the SCAN level.

Summary:
**Volume**: 44 Å³/cell
**Total energy**: -68.83 eV for the cell shown
**Theoretical density**: 8.436 Mg/m³
**Energy of formation**: 0.7 eV per formula unit
**Fermi-level density of states**: 2.8 states/eV/f.u.
**Total magnetic moment**: 2.616 Bohr magnetons per cell

a b c (Å): 3.556 3.556 4.316
angles (deg): 114.33 114.33 90.00
Sites, in units of the cell vectors:
Ni  0.750  0.250  0.500
Ni  0.000  0.000  0.000
Li  0.250  0.750  0.500
Ru  0.500  0.500  0.000

=====

Entry 6:
Below is V2CdP4O14 at its PBEsol-relaxed geometry, with properties calculated at the SCAN level.

Summary:
**Volume**: 249 Å³/cell
**Total energy**: -245.86 eV for the cell shown
**Theoretical density**: 3.754 Mg/m³
**E_form (uncorrected)**: -2.459 eV per atom
**Total magnetic moment**: 4.000 Bohr magnetons per cell

a b c (Å): 4.786 6.974 7.779
angles (deg): 89.87 88.04 73.39
Sites, in units of the cell vectors:
O  0.111  0.671  0.916
O  0.618  0.158  0.576
O  0.382  0.842  0.424
O  0.308  0.441  0.207
O  0.822  0.923  0.274
O  0.079  0.218  0.378
O  0.201  0.431  0.665
O  0.504  0.226  0.899
O  0.178  0.077  0.726
O  0.889  0.329  0.084
O  0.921  0.782  0.622
O  0.799  0.569  0.335
O  0.692  0.559  0.793
O  0.496  0.774  0.101
V  0.500  0.500  0.000
V  0.000  0.000  0.500
P  0.614  0.789  0.282
P  0.968  0.618  0.752
P  0.386  0.211  0.718
P  0.032  0.382  0.248
Cd  0.000  0.000  0.000

=====

Entry 7:
Below is Mn2HOs at its PBEsol-relaxed geometry, with properties calculated at the SCAN level.

Summary:
**Volume**: 42 Å³/cell
**Total energy**: -108.78 eV for the cell shown
**Theoretical density**: 11.854 Mg/m³
**Fermi-level density of states**: 2.9 states/eV/f.u.
**Total magnetic moment**: 1.671 Bohr magnetons per cell

a b c (Å): 3.907 3.907 3.907
angles (deg): 60.00 60.00 60.00
Sites, in units of the cell vectors:
Mn  0.750  0.750  0.750
Mn  0.250  0.250  0.250
Os  0.500  0.500  0.500
H  0.000  0.000  0.000

=====

Entry 8:
Below is SrCa2Tc at its PBEsol-relaxed geometry, with properties calculated at the SCAN level.

Summary:
**Volume**: 110 Å³/cell
**Total energy**: -73.83 eV for the cell shown
**Theoretical density**: 4.001 Mg/m³
**Energy of formation**: 2.8 eV per formula unit
**Fermi-level density of states**: 5.5 states/eV/f.u.
**Total magnetic moment**: 1.743 Bohr magnetons per cell

a b c (Å): 5.383 5.383 5.383
angles (deg): 60.00 60.00 60.00
Sites, in units of the cell vectors:
Ca  0.250  0.250  0.250
Ca  0.000  0.000  0.000
Tc  0.750  0.750  0.750
Sr  0.500  0.500  0.500

=====

Entry 9:
Below is LiRh2 at its PBEsol-relaxed geometry, with properties calculated at the SCAN level.

Summary:
**Volume**: 38 Å³/cell
**Total energy**: -69.95 eV for the cell shown
**Theoretical density**: 9.210 Mg/m³
**Energy of formation**: 0.0 eV per formula unit
**Fermi-level density of states**: 2.6 states/eV/f.u.
**Total magnetic moment**: 1.721 Bohr magnetons per cell

a b c (Å): 2.614 4.117 4.117
angles (deg): 120.00 90.00 90.00
Sites, in units of the cell vectors:
Li  0.000  0.000  0.000
Rh  0.280  0.667  0.333
Rh  0.720  0.333  0.667

=====

Entry 10:
Below is LiSe2N2 at its PBEsol-relaxed geometry, with properties calculated at the SCAN level.

Summary:
**Volume**: 64 Å³/cell
**Total energy**: -50.99 eV for the cell shown
**Theoretical density**: 5.004 Mg/m³
**E_form (uncorrected)**: 2.029 eV per atom
**Fermi-level density of states**: 2.8 states/eV/f.u.
**Total magnetic moment**: 0.000 Bohr magnetons per cell

a b c (Å): 3.273 4.422 4.422
angles (deg): 90.00 90.00 90.00
Sites, in units of the cell vectors:
Li  0.000  0.000  0.000
Se  0.000  0.000  0.500
Se  0.000  0.500  0.000
N  0.500  0.000  0.000
N  0.500  0.500  0.500

=====

Entry 11:
Below is PWO5 at its PBEsol-relaxed geometry, with properties calculated at the SCAN level.

Summary:
**Volume**: 397 Å³/cell
**Total energy**: -508.94 eV for the cell shown
**Theoretical density**: 4.930 Mg/m³
**E_form (uncorrected)**: -2.285 eV per atom
**Fermi-level density of states**: 2.2 states/eV/f.u.
**Total magnetic moment**: 2.758 Bohr magnetons per cell

a b c (Å): 5.314 6.645 11.249
angles (deg): 90.00 90.00 90.00
Sites, in units of the cell vectors:
O  0.989  0.647  0.627
O  0.250  0.522  0.212
O  0.250  0.830  0.915
O  0.500  0.000  0.500
O  0.250  0.670  0.415
O  0.489  0.147  0.873
O  0.989  0.853  0.127
O  0.511  0.647  0.627
O  0.750  0.022  0.288
O  0.750  0.170  0.085
O  0.511  0.853  0.127
O  0.000  0.000  0.500
O  0.489  0.353  0.373
O  0.000  0.500  0.000
O  0.250  0.978  0.712
O  0.011  0.353  0.373
O  0.011  0.147  0.873
O  0.500  0.500  0.000
O  0.750  0.330  0.585
O  0.750  0.478  0.788
P  0.750  0.971  0.155
P  0.250  0.029  0.845
P  0.750  0.529  0.655
P  0.250  0.471  0.345
W  0.750  0.333  0.940
W  0.250  0.833  0.560
W  0.750  0.167  0.440
W  0.250  0.667  0.060

=====

Entry 12:
Below is La2Si2Sb at its PBEsol-relaxed geometry, with properties calculated at the SCAN level.

Summary:
**Volume**: 246 Å³/cell
**Total energy**: -294.76 eV for the cell shown
**Theoretical density**: 6.156 Mg/m³
**E_form (uncorrected)**: -0.775 eV per atom
**Fermi-level density of states**: 2.1 states/eV/f.u.
**Total magnetic moment**: 0.000 Bohr magnetons per cell

a b c (Å): 4.411 7.466 7.466
angles (deg): 90.00 90.00 90.00
Sites, in units of the cell vectors:
La  0.500  0.321  0.179
La  0.500  0.679  0.821
La  0.500  0.179  0.679
La  0.500  0.821  0.321
Si  0.000  0.612  0.112
Si  0.000  0.112  0.388
Si  0.000  0.388  0.888
Si  0.000  0.888  0.612
Sb  0.000  0.000  0.000
Sb  0.000  0.500  0.500

=====

Entry 13:
Below is Sr2LiTe at its PBEsol-relaxed geometry, with properties calculated at the SCAN level.

Summary:
**Volume**: 134 Å³/cell
**Total energy**: -87.73 eV for the cell shown
**Theoretical density**: 3.833 Mg/m³
**E_form (uncorrected)**: -0.886 eV per atom
**Fermi-level density of states**: 2.0 states/eV/f.u.
**Total magnetic moment**: 0.893 Bohr magnetons per cell

a b c (Å): 4.555 4.637 6.765
angles (deg): 110.04 90.00 90.00
Sites, in units of the cell vectors:
Li  0.500  0.690  0.381
Te  0.000  0.558  0.117
Sr  0.500  0.979  0.959
Sr  0.000  0.272  0.544

=====

Entry 14:
Below is SrAsI2 at its PBEsol-relaxed geometry, with properties calculated at the SCAN level.

Summary:
**Volume**: 290 Å³/cell
**Total energy**: -236.13 eV for the cell shown
**Theoretical density**: 4.771 Mg/m³
**E_form (uncorrected)**: -0.529 eV per atom
**Fermi-level density of states**: 2.5 states/eV/f.u.
**Total magnetic moment**: 0.000 Bohr magnetons per cell

a b c (Å): 5.334 5.334 10.862
angles (deg): 104.21 104.21 90.00
Sites, in units of the cell vectors:
As  0.500  0.500  0.000
As  0.750  0.250  0.500
I  0.125  0.151  0.750
I  0.401  0.875  0.250
I  0.625  0.599  0.750
I  0.849  0.375  0.250
Sr  0.250  0.750  0.500
Sr  0.000  0.000  0.000

=====

Entry 15:
Below is CaMgS2 at its PBEsol-relaxed geometry, with properties calculated at the SCAN level.

Summary:
**Volume**: 185 Å³/cell
**Total energy**: -82.76 eV for the cell shown
**Theoretical density**: 2.311 Mg/m³
**E_form (uncorrected)**: -1.871 eV per atom
**Fermi-level density of states**: 0.0 states/eV/f.u.
**Total magnetic moment**: 0.000 Bohr magnetons per cell

a b c (Å): 6.675 6.675 6.281
angles (deg): 122.10 122.10 90.00
Sites, in units of the cell vectors:
Mg  0.500  0.500  0.000
Mg  0.750  0.250  0.500
S  0.407  0.875  0.250
S  0.125  0.157  0.750
S  0.843  0.375  0.250
S  0.625  0.593  0.750
Ca  0.250  0.750  0.500
Ca  0.000  0.000  0.000

=====

Entry 16:
Below is CaHf3B at its PBEsol-relaxed geometry, with properties calculated at the SCAN level.

Summary:
**Volume**: 105 Å³/cell
**Total energy**: -204.23 eV for the cell shown
**Theoretical density**: 9.270 Mg/m³
**Energy of formation**: 0.9 eV per formula unit
**Fermi-level density of states**: 6.4 states/eV/f.u.
**Total magnetic moment**: 1.071 Bohr magnetons per cell

a b c (Å): 4.718 4.718 4.718
angles (deg): 90.00 90.00 90.00
Sites, in units of the cell vectors:
Hf  0.000  0.000  0.500
Hf  0.500  0.000  0.000
Hf  0.000  0.500  0.000
B  0.000  0.000  0.000
Ca  0.500  0.500  0.500

=====

Entry 17:
Below is Y3Cu at its PBEsol-relaxed geometry, with properties calculated at the SCAN level.

Summary:
**Volume**: 415 Å³/cell
**Total energy**: -397.37 eV for the cell shown
**Theoretical density**: 5.290 Mg/m³
**Energy of formation**: -0.6 eV per formula unit
**Fermi-level density of states**: 4.0 states/eV/f.u.
**Total magnetic moment**: 0.003 Bohr magnetons per cell

a b c (Å): 6.402 6.745 9.603
angles (deg): 90.00 90.00 90.00
Sites, in units of the cell vectors:
Y  0.814  0.190  0.440
Y  0.186  0.810  0.940
Y  0.314  0.310  0.940
Y  0.133  0.518  0.250
Y  0.686  0.690  0.440
Y  0.314  0.310  0.560
Y  0.867  0.482  0.750
Y  0.186  0.810  0.560
Y  0.814  0.190  0.060
Y  0.686  0.690  0.060
Y  0.367  0.018  0.250
Y  0.633  0.982  0.750
Cu  0.551  0.404  0.250
Cu  0.051  0.096  0.750
Cu  0.449  0.596  0.750
Cu  0.949  0.904  0.250

=====

Entry 18:
Below is Co2Pt at its PBEsol-relaxed geometry, with properties calculated at the SCAN level.

Summary:
**Volume**: 36 Å³/cell
**Total energy**: -105.03 eV for the cell shown
**Theoretical density**: 14.331 Mg/m³
**Energy of formation**: -0.2 eV per formula unit
**Fermi-level density of states**: 3.0 states/eV/f.u.
**Total magnetic moment**: 4.243 Bohr magnetons per cell

a b c (Å): 2.611 3.551 4.489
angles (deg): 113.30 106.91 90.00
Sites, in units of the cell vectors:
Pt  0.000  0.000  0.000
Co  0.326  0.326  0.652
Co  0.674  0.674  0.348

=====

Entry 19:
Below is KGa2Rh2 at its PBEsol-relaxed geometry, with properties calculated at the SCAN level.

Summary:
**Volume**: 93 Å³/cell
**Total energy**: -109.82 eV for the cell shown
**Theoretical density**: 6.843 Mg/m³
**Energy of formation**: -1.3 eV per formula unit
**Fermi-level density of states**: 2.0 states/eV/f.u.
**Total magnetic moment**: 0.000 Bohr magnetons per cell

a b c (Å): 4.231 4.231 6.008
angles (deg): 110.62 110.62 90.00
Sites, in units of the cell vectors:
Rh  0.377  0.377  0.754
Rh  0.623  0.623  0.246
Ga  0.750  0.250  0.500
Ga  0.250  0.750  0.500
K  0.000  0.000  0.000

=====

Entry 20:
Below is SrIn3Co at its PBEsol-relaxed geometry, with properties calculated at the SCAN level.

Summary:
**Volume**: 119 Å³/cell
**Total energy**: -140.85 eV for the cell shown
**Theoretical density**: 6.826 Mg/m³
**Energy of formation**: -1.1 eV per formula unit
**Fermi-level density of states**: 3.3 states/eV/f.u.
**Total magnetic moment**: 0.937 Bohr magnetons per cell

a b c (Å): 4.925 4.925 4.925
angles (deg): 90.00 90.00 90.00
Sites, in units of the cell vectors:
In  0.000  0.500  0.000
In  0.000  0.000  0.500
In  0.500  0.000  0.000
Co  0.000  0.000  0.000
Sr  0.500  0.500  0.500